# Sm4Hf6O19

Crystalline Sm4Hf6O19 at its relaxed geometry (GGA-PBE, Alexandria).

energy relative to the elements, uncorrected = -3.242 eV/atom
crystal system = cubic
V = 14.51 A^3/atom
total energy = -9.201 eV/atom
Fermi-level density of states = 20.30 states/eV/f.u.

Structure (CIF):
```
data_Sm4Hf6O19
_chemical_formula_sum 'Sm4 Hf6 O19'
_space_group_name_H-M_alt 'P 1'
_space_group_IT_number 1
_space_group_name_Hall 'P 1'
_cell_length_a 8.1763
_cell_length_b 8.1763
_cell_length_c 8.1763
_cell_angle_alpha 109.47
_cell_angle_beta 109.47
_cell_angle_gamma 109.47
loop_
_atom_site_label
_atom_site_fract_x
_atom_site_fract_y
_atom_site_fract_z
_atom_site_occupancy
Sm1 0.0000 0.0000 0.7069 1
Sm2 0.0000 0.7069 0.0000 1
Sm3 0.2931 0.2931 0.2931 1
Sm4 0.7069 0.0000 0.0000 1
Hf1 0.3319 0.5000 0.8319 1
Hf2 0.6681 0.5000 0.1681 1
Hf3 0.1681 0.6681 0.5000 1
Hf4 0.8319 0.3319 0.5000 1
Hf5 0.5000 0.8319 0.3319 1
Hf6 0.5000 0.1681 0.6681 1
O1 0.6453 0.0000 0.6453 1
O2 0.3547 0.0000 0.3547 1
O3 0.3547 0.3547 0.0000 1
O4 0.6453 0.6453 0.0000 1
O5 0.0000 0.6453 0.6453 1
O6 0.0000 0.3547 0.3547 1
O7 0.0000 0.0000 0.0000 1
O8 0.3627 0.3294 0.6031 1
O9 0.6373 0.2404 0.9667 1
O10 0.7263 0.7596 0.3969 1
O11 0.9667 0.6373 0.2404 1
O12 0.2737 0.6706 0.0333 1
O13 0.6031 0.3627 0.3294 1
O14 0.0333 0.2737 0.6706 1
O15 0.3969 0.7263 0.7596 1
O16 0.6706 0.0333 0.2737 1
O17 0.2404 0.9667 0.6373 1
O18 0.3294 0.6031 0.3627 1
O19 0.7596 0.3969 0.7263 1
```